Computed, not measured: a geometry-optimized Ga2SiF structure at the PBE level of DFT.

Calculated values
- Energy relative to the lowest polymorph listed for this composition: 0.028 eV per atom
- ΔE_f (raw): -460 meV per atom

Lattice parameters (Å, degrees): 5.057 5.057 12.342 90.00 90.00 90.00
Space group I-42d (No. 122)
One atom of each set of equivalent atoms:
Ga (0.222, 0.250, 0.125) [8 per cell]
Si (0.000, 0.000, 0.500) [4 per cell]
F (0.000, 0.000, 0.000) [4 per cell]